First-principles (PBE) data for a relaxed structure of Pr5Dy2, as listed in Alexandria.

CIF file:
```
data_Pr5Dy2
_chemical_formula_sum 'Pr10 Dy4'
_cell_length_a 16.529
_cell_length_b 3.583
_cell_length_c 11.565
_cell_angle_alpha 90.00
_cell_angle_beta 132.29
_cell_angle_gamma 90.00
_symmetry_space_group_name_H-M 'C 1 2/m 1'
_symmetry_Int_Tables_number 12
_symmetry_space_group_name_Hall '-C 2y'
loop_
_atom_site_label
_atom_site_fract_x
_atom_site_fract_y
_atom_site_fract_z
Pr1 0.000 0.000 0.000
Pr2 0.130 0.500 0.362
Pr3 0.162 0.000 0.670
Dy1 0.138 0.500 0.913
```

Calculated values
ΔE to the lowest computed polymorph (eV per atom): 0.052
Fermi-level density of states (states/eV/f.u.): 11.49
Energy (eV per atom): -4.55